(1)
This record from the Alexandria database describes a geometry-optimized SmEuN structure. The functional is PBE.

formation energy from raw total energies = -0.39 eV per atom
DFT total energy = -49.0 eV for the cell shown
energy above the most stable polymorph in this dataset = 438.8 meV per atom

a = 3.243 Å, b = 3.243 Å, c = 12.813 Å
α = 90.00°, β = 90.00°, γ = 90.00°
Space group I4mm (No. 107)
Unique sites:
Sm 0.000 0.000 0.000 (multiplicity 2)
Eu 0.000 0.000 0.229 (multiplicity 2)
N 0.000 0.000 0.579 (multiplicity 2)

=====

(2)
This record from the Alexandria database describes a geometry-optimized RbCaPr2Se4 structure. The functional is PBE.

formation energy from raw total energies = -1.75 eV per atom
DFT total energy = -161.8 eV for the cell shown

a = 8.669 Å, b = 8.881 Å, c = 12.406 Å
α = 90.00°, β = 90.00°, γ = 90.00°
Space group Imma (No. 74)
Unique sites:
Rb 0.250 0.250 0.250 (multiplicity 4)
Ca 0.000 0.000 0.000 (multiplicity 4)
Pr 0.000 0.000 0.500 (multiplicity 4)
Pr 0.250 0.250 0.750 (multiplicity 4)
Se 0.000 0.021 0.748 (multiplicity 8)
Se 0.249 0.250 0.991 (multiplicity 8)

=====

(3)
This record from the Alexandria database describes a geometry-optimized Fe2Ni6Ir structure. The functional is PBE.

DFT total energy = -121.7 eV for the cell shown
formation energy from the elements = -0.04 eV per atom
energy above the most stable polymorph in this dataset = 0.0 meV per atom

a = 10.790 Å, b = 3.587 Å, c = 5.671 Å
α = 90.00°, β = 108.43°, γ = 90.00°
Space group C2/m (No. 12)
Unique sites:
Fe 0.059 0.000 0.338 (multiplicity 4)
Ni 0.111 0.500 0.663 (multiplicity 4)
Ni 0.170 0.000 0.004 (multiplicity 4)
Ni 0.224 0.500 0.336 (multiplicity 4)
Ir 0.000 0.500 0.000 (multiplicity 2)

=====

How do the records compare in DOS at the Fermi energy? In the order shown, they have 0.69 0.37 1.13 states/eV/atom.